1) Density functional theory data (PBE) for crystalline PaCuS2 at its relaxed geometry.

- space-group type = P4/nmm, No. 129
- magnetic moment (μB/f.u.) = 0.002

a = 3.873 Å, b = 3.873 Å, c = 10.741 Å
α = 90.00°, β = 90.00°, γ = 90.00°
Atoms (fractional coordinates):
S (0.500, 0.000, 0.864)
Cu (0.500, 0.500, 0.500)
S (0.000, 0.500, 0.625)
Pa (0.000, 0.500, 0.870)
S (0.500, 0.000, 0.375)
Pa (0.500, 0.000, 0.130)
Cu (0.000, 0.000, 0.500)
S (0.000, 0.500, 0.136)

***

2) Density functional theory data (PBE) for crystalline PaCuS2 at its relaxed geometry.

- space-group type = R-3m, No. 166
- magnetic moment (μB/f.u.) = 0.000

a = 3.836 Å, b = 3.836 Å, c = 7.854 Å
α = 75.87°, β = 75.87°, γ = 60.00°
Atoms (fractional coordinates):
S (0.905, 0.905, 0.285)
S (0.095, 0.095, 0.715)
Cu (0.000, 0.000, 0.000)
Pa (0.500, 0.500, 0.500)

***

Stability order, top to bottom: 1), 2)

***

1) Density functional theory data (PBE) for crystalline PaCuS3 at its relaxed geometry.

- space-group type = P2_1/c, No. 14
- magnetic moment (μB/f.u.) = 0.000

a = 6.342 Å, b = 6.869 Å, c = 9.435 Å
α = 90.00°, β = 96.05°, γ = 90.00°
Atoms (fractional coordinates):
Cu (0.866, 0.798, 0.616)
S (0.679, 0.559, 0.735)
S (0.322, 0.176, 0.939)
S (0.330, 0.150, 0.595)
Pa (0.445, 0.867, 0.788)
S (0.170, 0.650, 0.905)
Cu (0.366, 0.702, 0.116)
S (0.178, 0.676, 0.561)
S (0.830, 0.350, 0.095)
Cu (0.634, 0.298, 0.884)
S (0.670, 0.850, 0.405)
S (0.678, 0.824, 0.061)
S (0.822, 0.324, 0.439)
Pa (0.055, 0.367, 0.712)
S (0.179, 0.941, 0.235)
S (0.321, 0.441, 0.265)
Pa (0.945, 0.633, 0.288)
Pa (0.555, 0.133, 0.212)
S (0.821, 0.059, 0.765)
Cu (0.134, 0.202, 0.384)

***

2) Density functional theory data (PBE) for crystalline PaCuS3 at its relaxed geometry.

- space-group type = P2_1/c, No. 14
- magnetic moment (μB/f.u.) = 0.000

a = 6.977 Å, b = 7.703 Å, c = 9.135 Å
α = 108.98°, β = 90.00°, γ = 90.00°
Atoms (fractional coordinates):
S (0.032, 0.125, 0.230)
S (0.136, 0.635, 0.411)
Cu (0.325, 0.441, 0.495)
Pa (0.669, 0.116, 0.368)
S (0.364, 0.135, 0.911)
S (0.864, 0.365, 0.589)
S (0.168, 0.654, 0.020)
S (0.332, 0.154, 0.520)
Cu (0.675, 0.559, 0.505)
S (0.832, 0.346, 0.980)
S (0.668, 0.846, 0.480)
S (0.968, 0.875, 0.770)
S (0.636, 0.865, 0.089)
Cu (0.825, 0.059, 0.005)
S (0.532, 0.375, 0.270)
S (0.468, 0.625, 0.730)
Pa (0.831, 0.616, 0.868)
Cu (0.175, 0.941, 0.995)
Pa (0.331, 0.884, 0.632)
Pa (0.169, 0.384, 0.132)

***

Stability order, top to bottom: 1), 2)

***

1) Density functional theory data (PBE) for crystalline ScPaCu2 at its relaxed geometry.

- space-group type = Fm-3m, No. 225
- magnetic moment (μB/f.u.) = 0.001

a = 4.758 Å, b = 4.758 Å, c = 4.758 Å
α = 60.00°, β = 60.00°, γ = 60.00°
Atoms (fractional coordinates):
Sc (0.500, 0.500, 0.500)
Cu (0.250, 0.250, 0.250)
Pa (0.000, 0.000, 0.000)
Cu (0.750, 0.750, 0.750)

***

2) Density functional theory data (PBE) for crystalline ScPaCu2 at its relaxed geometry.

- space-group type = P4/mmm, No. 123
- magnetic moment (μB/f.u.) = 0.000

a = 3.131 Å, b = 3.131 Å, c = 7.465 Å
α = 90.00°, β = 90.00°, γ = 90.00°
Atoms (fractional coordinates):
Cu (0.000, 0.000, 0.227)
Cu (0.000, 0.000, 0.773)
Sc (0.500, 0.500, 0.000)
Pa (0.500, 0.500, 0.500)

***

Stability order, top to bottom: 2), 1)